Version one
# Hf2TlTcRh

An optimized crystal structure of Hf2TlTcRh (PBE, Alexandria via LeMat-Bulk).

Cell: 5.1755 5.1755 4.8782 Å, 90.00 90.00 90.00°
Atoms (fractional coordinates):
Hf  0.0000  0.5000  0.0000
Hf  0.5000  0.0000  0.0000
Tl  0.0000  0.0000  0.0000
Tc  0.0000  0.0000  0.5000
Rh  0.5000  0.5000  0.5000

Properties
ρ = 9.69 g/cm³

***

Version two
# Hf2TlTcRh

An optimized crystal structure of Hf2TlTcRh (PBE, Alexandria via LeMat-Bulk).

Cell: 5.1944 5.1944 4.8246 Å, 90.00 90.00 90.00°
Atoms (fractional coordinates):
Hf  0.0000  0.5000  0.0000
Hf  0.5000  0.0000  0.0000
Tl  0.0000  0.0000  0.0000
Tc  0.5000  0.5000  0.5000
Rh  0.0000  0.0000  0.5000

Properties
ρ = 9.72 g/cm³

***

Which one sits at the top of the stability order? version two does.

***

Version one
# HfZnTc2Rh

An optimized crystal structure of HfZnTc2Rh (PBE, Alexandria via LeMat-Bulk).

Cell: 4.6737 4.6737 4.5206 Å, 90.00 90.00 90.00°
Atoms (fractional coordinates):
Hf  0.0000  0.0000  0.0000
Zn  0.5000  0.5000  0.0000
Tc  0.0000  0.5000  0.5000
Tc  0.5000  0.0000  0.5000
Rh  0.5000  0.5000  0.5000

Properties
ρ = 9.13 g/cm³

***

Version two
# HfZnTc2Rh

An optimized crystal structure of HfZnTc2Rh (PBE, Alexandria via LeMat-Bulk).

Cell: 4.5044 4.5044 4.4678 Å, 90.00 90.00 90.00°
Atoms (fractional coordinates):
Hf  0.0000  0.0000  0.0000
Zn  0.5000  0.5000  0.5000
Tc  0.0000  0.5000  0.5000
Tc  0.5000  0.0000  0.5000
Rh  0.5000  0.5000  0.0000

Properties
ρ = 9.94 g/cm³

***

Which one sits at the top of the stability order? version two does.

***

Version one
# HfTe2Rh2

An optimized crystal structure of HfTe2Rh2 (PBE, Alexandria via LeMat-Bulk).

Cell: 7.1707 7.1707 3.8553 Å, 90.00 90.00 90.00°
Atoms (fractional coordinates):
Hf  0.0000  0.0000  0.0000
Hf  0.5000  0.5000  0.0000
Te  0.1817  0.3183  0.5000
Te  0.3183  0.8183  0.5000
Te  0.6817  0.1817  0.5000
Te  0.8183  0.6817  0.5000
Rh  0.1305  0.6305  0.0000
Rh  0.3695  0.1305  0.0000
Rh  0.6305  0.8695  0.0000
Rh  0.8695  0.3695  0.0000

Properties
ρ = 10.71 g/cm³

***

Version two
# HfTe2Rh2

An optimized crystal structure of HfTe2Rh2 (PBE, Alexandria via LeMat-Bulk).

Cell: 3.8804 3.8804 13.6157 Å, 90.00 90.00 90.00°
Atoms (fractional coordinates):
Hf  0.0000  0.0000  0.0000
Hf  0.5000  0.5000  0.5000
Te  0.0000  0.0000  0.3838
Te  0.0000  0.0000  0.6162
Te  0.5000  0.5000  0.1162
Te  0.5000  0.5000  0.8838
Rh  0.0000  0.5000  0.2500
Rh  0.0000  0.5000  0.7500
Rh  0.5000  0.0000  0.2500
Rh  0.5000  0.0000  0.7500

Properties
ρ = 10.36 g/cm³

***

Version three
# HfTe2Rh2

An optimized crystal structure of HfTe2Rh2 (PBE, Alexandria via LeMat-Bulk).

Cell: 7.7085 7.7085 3.2882 Å, 90.00 90.00 90.00°
Atoms (fractional coordinates):
Hf  0.0000  0.0000  0.0000
Hf  0.5000  0.5000  0.0000
Te  0.1566  0.3434  0.0000
Te  0.3434  0.8434  0.0000
Te  0.6566  0.1566  0.0000
Te  0.8434  0.6566  0.0000
Rh  0.1480  0.6480  0.5000
Rh  0.3520  0.1480  0.5000
Rh  0.6480  0.8520  0.5000
Rh  0.8520  0.3520  0.5000

Properties
ρ = 10.87 g/cm³

***

Which one sits at the top of the stability order? version one does.

***

Version one
# HfTi2Rh2

An optimized crystal structure of HfTi2Rh2 (PBE, Alexandria via LeMat-Bulk).

Cell: 3.0150 18.8006 2.9984 Å, 90.00 90.00 90.00°
Atoms (fractional coordinates):
Hf  0.0000  0.0000  0.0000
Hf  0.5000  0.5000  0.0000
Ti  0.0000  0.1870  0.0000
Ti  0.0000  0.8130  0.0000
Ti  0.5000  0.3130  0.0000
Ti  0.5000  0.6870  0.0000
Rh  0.0000  0.4008  0.5000
Rh  0.0000  0.5992  0.5000
Rh  0.5000  0.0992  0.5000
Rh  0.5000  0.9008  0.5000

Properties
ρ = 9.38 g/cm³

***

Version two
# HfTi2Rh2

An optimized crystal structure of HfTi2Rh2 (PBE, Alexandria via LeMat-Bulk).

Cell: 7.5986 7.5986 2.8545 Å, 90.00 90.00 90.00°
Atoms (fractional coordinates):
Hf  0.0000  0.0000  0.0000
Hf  0.5000  0.5000  0.0000
Ti  0.1429  0.3571  0.0000
Ti  0.3571  0.8571  0.0000
Ti  0.6429  0.1429  0.0000
Ti  0.8571  0.6429  0.0000
Rh  0.1558  0.6558  0.5000
Rh  0.3442  0.1558  0.5000
Rh  0.6558  0.8442  0.5000
Rh  0.8442  0.3442  0.5000

Properties
ρ = 9.67 g/cm³

***

Which one sits at the top of the stability order? version two does.